VReNF2 | PBE+U | optimized geometry

Lattice parameters (Å, degrees): 4.193 4.193 3.869 90.00 90.00 90.00
Space group P4/mmm (No. 123)
Asymmetric unit:
V1 0.000 0.000 0.000 x1
Re1 0.500 0.500 0.500 x1
N1 0.500 0.500 0.000 x1
F1 0.000 0.500 0.500 x2

Properties
E above lowest polymorph, meV per atom: 0
Magnetization, Bohr magnetons per cell: 3.17
Volume, Å³ per cell: 68.03
Electronic total energy, eV for the cell shown: -32.983
Fermi-level density of states, states/eV per cell: 4.39